Record 1
First-principles (GGA-PBE) data for crystalline Ba4PbCl at its relaxed geometry, as listed in Alexandria.

Unit cell a=7.309 b=7.309 c=7.309 alpha=60.00 beta=60.00 gamma=60.00
Element x y z (fractional)
Ba  0.376  0.376  0.376
Ba  0.376  0.376  0.872
Ba  0.376  0.872  0.376
Ba  0.872  0.376  0.376
Pb  0.750  0.750  0.750
Cl  0.000  0.000  0.000

Results
E_tot in eV/atom: -2.290

---

Record 2
First-principles (GGA-PBE) data for crystalline BaPbCl at its relaxed geometry, as listed in Alexandria.

Unit cell a=5.648 b=5.648 c=5.648 alpha=60.00 beta=60.00 gamma=60.00
Element x y z (fractional)
Ba  0.000  0.000  0.000
Pb  0.750  0.750  0.750
Cl  0.500  0.500  0.500

Results
Polymorph energy (0 for the lowest one) in meV/atom: 593.4

---

Record 3
First-principles (GGA-PBE) data for crystalline BaPb2Cl at its relaxed geometry, as listed in Alexandria.

Unit cell a=5.786 b=5.786 c=5.786 alpha=60.00 beta=60.00 gamma=60.00
Element x y z (fractional)
Ba  0.000  0.000  0.000
Pb  0.250  0.250  0.250
Pb  0.750  0.750  0.750
Cl  0.500  0.500  0.500

Results
Polymorph energy (0 for the lowest one) in meV/atom: 643.7

---

Record 4
First-principles (GGA-PBE) data for crystalline Ba2Pb2Cl at its relaxed geometry, as listed in Alexandria.

Unit cell a=9.027 b=9.027 c=5.229 alpha=90.00 beta=90.00 gamma=90.00
Element x y z (fractional)
Ba  0.186  0.314  0.000
Ba  0.314  0.814  0.000
Ba  0.686  0.186  0.000
Ba  0.814  0.686  0.000
Pb  0.111  0.611  0.500
Pb  0.389  0.111  0.500
Pb  0.611  0.889  0.500
Pb  0.889  0.389  0.500
Cl  0.000  0.000  0.000
Cl  0.500  0.500  0.000

Results
E_tot in eV/atom: -3.549

---

Record 5
First-principles (GGA-PBE) data for crystalline BaPbCl at its relaxed geometry, as listed in Alexandria.

Unit cell a=4.355 b=4.355 c=8.247 alpha=90.00 beta=90.00 gamma=120.00
Element x y z (fractional)
Ba  0.000  0.000  0.000
Pb  0.333  0.667  0.649
Cl  0.667  0.333  0.205

Results
Polymorph energy (0 for the lowest one) in meV/atom: 81.5

---

Record 6
First-principles (GGA-PBE) data for crystalline BaPbCl2 at its relaxed geometry, as listed in Alexandria.

Unit cell a=4.068 b=4.752 c=6.577 alpha=90.00 beta=90.00 gamma=90.00
Element x y z (fractional)
Ba  0.000  0.000  0.000
Pb  0.500  0.000  0.500
Cl  0.000  0.500  0.500
Cl  0.500  0.500  0.000

Results
Polymorph energy (0 for the lowest one) in meV/atom: 60.2

---

Per-record magnetic moment, μB/f.u.: 0.0 0.4 0.0 0.0 0.8 0.0
Per-record ρ, Mg/m³: 4.76 4.95 7.12 5.65 4.66 5.43